Material: Tb3Ce2Y6Er
Method: DFT, PBE-GGA
State: relaxed

The structure in POSCAR format:
```
Tb3Ce2Y6Er
1.0
-2.676 -3.826 4.018
6.075 -0.313 -0.971
0.623 9.070 7.478
Tb Ce Y Er
3 2 6 1
direct
0.166 0.834 0.500 Tb
0.834 0.166 0.500 Tb
0.500 0.500 0.500 Tb
0.334 0.666 0.000 Ce
0.666 0.334 0.000 Ce
0.917 0.582 0.752 Y
0.748 0.748 0.248 Y
0.083 0.418 0.248 Y
0.582 0.917 0.752 Y
0.252 0.252 0.752 Y
0.418 0.083 0.248 Y
0.000 0.000 0.000 Er
```

E_tot	-68.52	eV for the cell shown
crystal system	monoclinic